Density functional theory data (GGA-PBE) for an optimized crystal structure of K2Bi2PdPb.

The structure belongs to space group Ibam (No. 72); the cell edges are 6.981, 16.713 and 7.223 Å and the angles 90.00°, 90.00° and 90.00°. The distinct sites, in fractional coordinates, are K at (0.223, 0.169, 0.000), Bi at (0.198, 0.400, 0.000), Pd at (0.000, 0.500, 0.250) and Pb at (0.000, 0.000, 0.250).

The value obtained for the formation energy is -256 meV per atom. As for the raw total energy: -3.399 eV per atom. The calculation puts the total moment at 0.0 μB per cell. For the density of states at the Fermi level, the calculation gives 0.498 states/eV/atom.

Density functional theory data (GGA-PBE) for an optimized crystal structure of BaSmSn3.

The structure belongs to space group Cmcm (No. 63); the cell edges are 4.796, 30.629 and 4.554 Å and the angles 90.00°, 90.00° and 90.00°. The distinct sites, in fractional coordinates, are Ba at (0.000, 0.079, 0.250), Sm at (0.000, 0.204, 0.750), Sn at (0.000, 0.307, 0.750), Sn at (0.000, 0.370, 0.250) and Sn at (0.000, 0.472, 0.250).

The value obtained for the formation energy is -598 meV per atom. As for the raw total energy: -4.328 eV per atom. The calculation puts the total moment at 0.0 μB per cell. For the density of states at the Fermi level, the calculation gives 0.485 states/eV/atom.

In g/cm3, the mass density values for the records above are, in order, 6.38; 6.39.